The following is a GGA-PBE calculation of an optimized crystal structure of GdURu, from Alexandria.

Cell and atoms, written as CIF:
```
data_GdURu
_chemical_formula_sum 'Gd2 U2 Ru2'
_symmetry_space_group_name_H-M 'I 4 m m'
_symmetry_Int_Tables_number 107
_symmetry_space_group_name_Hall 'I 4 -2'
_cell_length_a 3.484
_cell_length_b 3.484
_cell_length_c 10.916
_cell_angle_alpha 90.00
_cell_angle_beta 90.00
_cell_angle_gamma 90.00
loop_
_atom_site_label
_atom_site_type_symbol
_atom_site_fract_x
_atom_site_fract_y
_atom_site_fract_z
Gd1 Gd 0.000 0.000 0.000
U1 U 0.000 0.000 0.699
Ru1 Ru 0.000 0.000 0.300
```

E above lowest polymorph = 0.00 eV per formula unit
Calculated formation energy = -0.0979 eV/atom
Final energy = -11.6462 eV/atom